No. 1
The following is a DFT calculation (PBE) of Rb5Cr2S6 after structural relaxation.

Results
theoretical density	2794	kg/m3
space group	C2/c
size of the total moment	3.00	μB/f.u.
energy relative to the elements, uncorrected	-976.2	meV per atom

Cell: 7.604 7.604 16.856 Å, 100.57 100.57 64.72°
Element x y z (fractional)
Rb 0.109 0.891 0.750
Rb 0.175 0.694 0.002
Rb 0.266 0.418 0.279
Rb 0.306 0.825 0.498
Rb 0.418 0.266 0.779
Rb 0.582 0.734 0.221
Rb 0.694 0.175 0.502
Rb 0.734 0.582 0.721
Rb 0.825 0.306 0.998
Rb 0.891 0.109 0.250
Cr 0.116 0.424 0.566
Cr 0.424 0.116 0.066
Cr 0.576 0.884 0.934
Cr 0.884 0.576 0.434
S 0.087 0.217 0.633
S 0.154 0.296 0.437
S 0.217 0.087 0.133
S 0.296 0.154 0.937
S 0.361 0.496 0.623
S 0.496 0.361 0.123
S 0.504 0.639 0.877
S 0.639 0.504 0.377
S 0.704 0.846 0.063
S 0.783 0.913 0.867
S 0.846 0.704 0.563
S 0.913 0.783 0.367

=====

No. 2
The following is a DFT calculation (PBE) of NbInNi5 after structural relaxation.

Results
theoretical density	8252	kg/m3
space group	P4/mmm
size of the total moment	0.00	μB/f.u.
energy of formation	110	meV per atom

Cell: 4.380 4.380 5.258 Å, 90.00 90.00 90.00°
Element x y z (fractional)
Nb 0.000 0.000 0.000
In 0.500 0.500 0.500
Ni 0.000 0.000 0.500
Ni 0.000 0.500 0.243
Ni 0.000 0.500 0.757
Ni 0.500 0.000 0.243
Ni 0.500 0.000 0.757